[1]
A relaxed ZnMo2W crystal, computed with PBE.

Output
Mass density ... 11.8 g/cm³
VASP energy ... -8.804 eV per atom
Energy relative to the elements ... 0.67 eV per formula unit

POSCAR file:
```
ZnMo2W
1.0
5.4708 0.0000 0.0000
0.0000 8.9187 0.0000
-0.8607 0.0000 2.5524
Zn Mo W
2 4 2
Direct
0.0000 0.0000 0.0000
0.5000 0.5000 0.0000
0.2500 0.2500 0.5000
0.2500 0.7500 0.5000
0.7500 0.2500 0.5000
0.7500 0.7500 0.5000
0.0000 0.5000 0.0000
0.5000 0.0000 0.0000
```

=====

[2]
A relaxed ZnMo2W crystal, computed with PBE.

Output
Mass density ... 11.5 g/cm³
VASP energy ... -8.649 eV per atom
Energy relative to the elements ... 1.29 eV per formula unit

POSCAR file:
```
ZnMo2W
1.0
2.7738 0.0000 0.0000
-1.3869 2.4022 0.0000
0.0000 0.0000 28.6119
Zn Mo W
3 6 3
Direct
0.0000 0.0000 0.0000
0.3333 0.6667 0.6667
0.6667 0.3333 0.3333
0.0000 0.0000 0.2520
0.0000 0.0000 0.7480
0.3333 0.6667 0.4146
0.3333 0.6667 0.9187
0.6667 0.3333 0.0813
0.6667 0.3333 0.5854
0.0000 0.0000 0.5000
0.3333 0.6667 0.1667
0.6667 0.3333 0.8333
```

=====

[3]
A relaxed Zn2MoW crystal, computed with PBE.

Output
ΔE to the lowest computed polymorph ... 0.530 eV per formula unit
Mass density ... 10.9 g/cm³
VASP energy ... -6.332 eV per atom
Energy relative to the elements ... 1.00 eV per formula unit

POSCAR file:
```
Zn2MoW
1.0
2.7803 0.0000 0.0000
-1.3902 2.4078 0.0000
0.0000 0.0000 27.9404
Zn Mo W
6 3 3
Direct
0.0000 0.0000 0.0000
0.0000 0.0000 0.2518
0.3333 0.6667 0.6667
0.3333 0.6667 0.9184
0.6667 0.3333 0.3333
0.6667 0.3333 0.5851
0.0000 0.0000 0.5025
0.3333 0.6667 0.1691
0.6667 0.3333 0.8358
0.0000 0.0000 0.7495
0.3333 0.6667 0.4161
0.6667 0.3333 0.0828
```